Below is crystalline Cs2TlPdF6 at its relaxed geometry, with properties calculated at the GGA-PBEsol level.

Results
- E_form (uncorrected) (eV/atom) = -2.06
- total energy (eV per atom) = -4.263
- mass density (g/cm³) = 6.05
- SG = No. 225

Unit cell a=6.4468 b=6.4468 c=6.4468 alpha=60.00 beta=60.00 gamma=60.00
Fractional coordinates of all 10 atoms:
Cs 0.2500 0.2500 0.2500
Cs 0.7500 0.7500 0.7500
Tl 0.0000 0.0000 0.0000
Pd 0.5000 0.5000 0.5000
F 0.2743 0.2743 0.7257
F 0.2743 0.7257 0.2743
F 0.2743 0.7257 0.7257
F 0.7257 0.2743 0.2743
F 0.7257 0.2743 0.7257
F 0.7257 0.7257 0.2743